## Pu2InGa6 (PBE-GGA)

Data for crystalline Pu2InGa6 at its relaxed geometry.

Properties
- total moment (μB per formula unit) = 11.3
- final energy (eV per atom) = -5.532
- calculated formation energy (eV/atom) = -0.03

```
Pu2InGa6
1.0
2.923 -4.463 0.000
2.923 4.463 0.000
0.000 0.000 7.738
Pu In Ga
2 1 6
direct
0.000 0.000 0.249 Pu
0.000 0.000 0.751 Pu
0.500 0.500 0.000 In
0.000 0.500 0.000 Ga
0.000 0.500 0.500 Ga
0.500 0.000 0.000 Ga
0.500 0.000 0.500 Ga
0.500 0.500 0.340 Ga
0.500 0.500 0.660 Ga
```